## Ba5Co4PtClO13 (meta-GGA SCAN)

Data for a PBEsol-optimized structure of Ba5Co4PtClO13.

Cell lengths 5.6436, 5.6436, 24.8069 Å; angles 90.00, 90.00, 120.00 degrees
Fractional coordinates of all 48 atoms:
Ba: 0.0000 0.0000 0.2500
Ba: 0.0000 0.0000 0.7500
Ba: 0.3333 0.6667 0.0432
Ba: 0.3333 0.6667 0.4568
Ba: 0.3333 0.6667 0.6316
Ba: 0.3333 0.6667 0.8684
Ba: 0.6667 0.3333 0.1316
Ba: 0.6667 0.3333 0.3684
Ba: 0.6667 0.3333 0.5432
Ba: 0.6667 0.3333 0.9568
Co: 0.0000 0.0000 0.1079
Co: 0.0000 0.0000 0.3921
Co: 0.0000 0.0000 0.6079
Co: 0.0000 0.0000 0.8921
Co: 0.3333 0.6667 0.1769
Co: 0.3333 0.6667 0.3231
Co: 0.6667 0.3333 0.6769
Co: 0.6667 0.3333 0.8231
Pt: 0.0000 0.0000 0.0000
Pt: 0.0000 0.0000 0.5000
Cl: 0.3333 0.6667 0.7500
Cl: 0.6667 0.3333 0.2500
O: 0.1499 0.2999 0.5550
O: 0.1499 0.2999 0.9450
O: 0.1499 0.8501 0.5550
O: 0.1499 0.8501 0.9450
O: 0.1584 0.3169 0.1513
O: 0.1584 0.3169 0.3487
O: 0.1584 0.8416 0.1513
O: 0.1584 0.8416 0.3487
O: 0.2999 0.1499 0.0550
O: 0.2999 0.1499 0.4450
O: 0.3169 0.1584 0.6513
O: 0.3169 0.1584 0.8487
O: 0.3333 0.6667 0.2500
O: 0.6667 0.3333 0.7500
O: 0.6831 0.8416 0.1513
O: 0.6831 0.8416 0.3487
O: 0.7001 0.8501 0.5550
O: 0.7001 0.8501 0.9450
O: 0.8416 0.1584 0.6513
O: 0.8416 0.1584 0.8487
O: 0.8416 0.6831 0.6513
O: 0.8416 0.6831 0.8487
O: 0.8501 0.1499 0.0550
O: 0.8501 0.1499 0.4450
O: 0.8501 0.7001 0.0550
O: 0.8501 0.7001 0.4450

Values from the calculation:
symmetry = P6_3/mmc

## Pb3Cl2O2 (meta-GGA SCAN)

Data for a PBEsol-optimized structure of Pb3Cl2O2.

Cell lengths 11.7728, 5.8158, 9.5213 Å; angles 90.00, 90.00, 90.00 degrees
Fractional coordinates of all 28 atoms:
Pb: 0.0597 0.2500 0.2015
Pb: 0.0825 0.2500 0.5810
Pb: 0.2191 0.7500 0.3637
Pb: 0.2809 0.2500 0.8637
Pb: 0.4175 0.7500 0.0810
Pb: 0.4403 0.7500 0.7015
Pb: 0.5597 0.2500 0.2985
Pb: 0.5825 0.2500 0.9190
Pb: 0.7191 0.7500 0.1363
Pb: 0.7809 0.2500 0.6363
Pb: 0.9175 0.7500 0.4190
Pb: 0.9403 0.7500 0.7985
Cl: 0.1338 0.7500 0.0826
Cl: 0.1920 0.7500 0.6904
Cl: 0.3080 0.2500 0.1904
Cl: 0.3662 0.2500 0.5826
Cl: 0.6338 0.7500 0.4174
Cl: 0.6920 0.7500 0.8096
Cl: 0.8080 0.2500 0.3096
Cl: 0.8662 0.2500 0.9174
O: 0.0790 0.0050 0.3858
O: 0.0790 0.4950 0.3858
O: 0.4210 0.5050 0.8858
O: 0.4210 0.9950 0.8858
O: 0.5790 0.0050 0.1142
O: 0.5790 0.4950 0.1142
O: 0.9210 0.5050 0.6142
O: 0.9210 0.9950 0.6142

Values from the calculation:
symmetry = Pnma

For the records above, the corresponding E values read -19.793; -37.795 eV/atom.
For the records above, the corresponding total magnetic moment values read 18.00; 0.00 μB per cell.